# 1
Entry from the Alexandria database: a relaxed CuAg2PdAu crystal (GGA-PBE).

abc: 5.032 5.032 5.056
angles: 90.00 90.00 90.00
Sites, in units of the cell vectors:
Cu1 0.000 0.000 0.000
Ag1 0.000 0.500 0.500
Ag2 0.500 0.000 0.500
Pd1 0.500 0.500 0.500
Au1 0.500 0.500 0.000

Output
Its total energy is -2.677 eV per atom. Its magnetization is 0.0000 μB/atom. The value obtained for the theoretical density is 7.6 g/cm3. As for the symmetry: P4/mmm (123). The energy relative to the elements comes out at 976 meV per atom.

=====

# 2
Entry from the Alexandria database: a relaxed Cu2Ag2Pd2Au crystal (GGA-PBE).

abc: 4.804 4.804 6.328
angles: 99.31 99.31 49.55
Sites, in units of the cell vectors:
Cu1 0.214 0.214 0.151
Cu2 0.786 0.786 0.849
Ag1 0.077 0.077 0.722
Ag2 0.923 0.923 0.278
Pd1 0.356 0.356 0.571
Pd2 0.644 0.644 0.429
Au1 0.500 0.500 0.000

Output
Its total energy is -3.964 eV per atom. Its magnetization is 0.0000 μB/atom. The value obtained for the theoretical density is 11.4 g/cm3. As for the symmetry: C2/m (12). The energy relative to the elements comes out at -27 meV per atom.

=====

# 3
Entry from the Alexandria database: a relaxed PrCuAgAu crystal (GGA-PBE).

abc: 4.934 4.934 4.934
angles: 60.00 60.00 60.00
Sites, in units of the cell vectors:
Pr1 0.000 0.000 0.000
Cu1 0.250 0.250 0.250
Ag1 0.500 0.500 0.500
Au1 0.750 0.750 0.750

Output
Its total energy is -4.052 eV per atom. Its magnetization is 0.0000 μB/atom. The value obtained for the theoretical density is 10.0 g/cm3. As for the symmetry: F-43m (216). The energy relative to the elements comes out at -301 meV per atom.

=====

# 4
Entry from the Alexandria database: a relaxed CuAgPtAu crystal (GGA-PBE).

abc: 2.853 2.853 7.807
angles: 90.00 90.00 90.00
Sites, in units of the cell vectors:
Cu1 0.000 0.000 0.000
Ag1 0.000 0.000 0.516
Pt1 0.500 0.500 0.782
Au1 0.500 0.500 0.236

Output
Its total energy is -4.136 eV per atom. Its magnetization is 0.0000 μB/atom. For the offset from the most stable computed form, the calculation gives 0 meV per atom. The value obtained for the theoretical density is 14.7 g/cm3. As for the symmetry: P4mm (99). The energy relative to the elements comes out at -70 meV per atom.

=====

# 5
Entry from the Alexandria database: a relaxed CuAgPtAu crystal (GGA-PBE).

abc: 4.502 4.502 4.502
angles: 60.00 60.00 60.00
Sites, in units of the cell vectors:
Cu1 0.000 0.000 0.000
Ag1 0.250 0.250 0.250
Pt1 0.750 0.750 0.750
Au1 0.500 0.500 0.500

Output
Its total energy is -4.028 eV per atom. Its magnetization is 0.0000 μB/atom. For the offset from the most stable computed form, the calculation gives 109 meV per atom. The value obtained for the theoretical density is 14.5 g/cm3. As for the symmetry: F-43m (216). The energy relative to the elements comes out at 39 meV per atom.

=====

# 6
Entry from the Alexandria database: a relaxed Cu2AgRhAu crystal (GGA-PBE).

abc: 4.608 4.608 4.924
angles: 90.00 90.00 90.00
Sites, in units of the cell vectors:
Cu1 0.000 0.500 0.000
Cu2 0.500 0.000 0.000
Ag1 0.000 0.000 0.000
Rh1 0.000 0.000 0.500
Au1 0.500 0.500 0.500

Output
Its total energy is -3.121 eV per atom. Its magnetization is 0.0000 μB/atom. The value obtained for the theoretical density is 8.5 g/cm3. As for the symmetry: P4/mmm (123). The energy relative to the elements comes out at 1213 meV per atom.

=====

What did the second record say?
Entry from the Alexandria database: a relaxed Cu2Ag2Pd2Au crystal (GGA-PBE).

abc: 4.804 4.804 6.328
angles: 99.31 99.31 49.55
Sites, in units of the cell vectors:
Cu1 0.214 0.214 0.151
Cu2 0.786 0.786 0.849
Ag1 0.077 0.077 0.722
Ag2 0.923 0.923 0.278
Pd1 0.356 0.356 0.571
Pd2 0.644 0.644 0.429
Au1 0.500 0.500 0.000

Output
Its total energy is -3.964 eV per atom. Its magnetization is 0.0000 μB/atom. The value obtained for the theoretical density is 11.4 g/cm3. As for the symmetry: C2/m (12). The energy relative to the elements comes out at -27 meV per atom.